A plane-wave DFT calculation with PBE was carried out for a relaxed structure of AgP2PdO6.

Lattice parameters (Å, degrees): 4.7598 7.9880 7.9880 86.71 77.95 77.95
Site moments in Bohr magnetons follow the coordinates.
Fractional positions:
P: 0.7493 0.1954 0.3581  0.00
P: 0.7507 0.6419 0.8046  0.00
P: 0.2493 0.3581 0.1954  0.00
P: 0.2507 0.8046 0.6419  0.00
O: 0.0219 0.2893 0.3534  0.01
O: 0.5219 0.3534 0.2893  0.01
O: 0.6713 0.7645 0.9501  0.02
O: 0.8664 0.4554 0.8386  0.02
O: 0.1336 0.5446 0.1614  0.02
O: 0.8287 0.0499 0.2355  0.02
O: 0.6336 0.1614 0.5446  0.02
O: 0.9781 0.7107 0.6466  0.01
O: 0.3664 0.8386 0.4554  0.02
O: 0.3287 0.2355 0.0499  0.02
O: 0.4781 0.6466 0.7107  0.01
O: 0.1713 0.9501 0.7645  0.02
Pd: 0.2500 0.3026 0.6974  0.75
Pd: 0.7500 0.6974 0.3026  0.75
Ag: 0.2500 0.8742 0.1258  0.03
Ag: 0.7500 0.1258 0.8742  0.03

Magnetic moment: 1.0 μB/f.u.
Raw formation energy: -1.400 eV per atom
Symmetry: C2/c, No. 15

---

A plane-wave DFT calculation with PBE was carried out for a relaxed structure of Sr3Cd4Hg4.

Lattice parameters (Å, degrees): 4.0409 4.9177 16.1139 80.90 82.72 89.96
Fractional positions:
Cd: 0.7409 0.7439 0.5169
Cd: 0.5944 0.0958 0.8111
Cd: 0.2591 0.2561 0.4831
Cd: 0.4056 0.9042 0.1889
Sr: 0.1440 0.6461 0.7114
Sr: 0.8560 0.3539 0.2886
Sr: 0.0000 0.0000 0.0000
Hg: 0.6864 0.1891 0.6268
Hg: 0.5506 0.5474 0.9048
Hg: 0.4494 0.4526 0.0952
Hg: 0.3137 0.8109 0.3732

Magnetic moment: 0.0 μB/f.u.
Energy of formation: -372 meV/atom
Symmetry: P-1, No. 2

---

- Look up the magnetic moment of the second one.
  0.0 μB/f.u.

---

Copy entry 1 word for word.
A plane-wave DFT calculation with PBE was carried out for a relaxed structure of AgP2PdO6.

Lattice parameters (Å, degrees): 4.7598 7.9880 7.9880 86.71 77.95 77.95
Site moments in Bohr magnetons follow the coordinates.
Fractional positions:
P: 0.7493 0.1954 0.3581  0.00
P: 0.7507 0.6419 0.8046  0.00
P: 0.2493 0.3581 0.1954  0.00
P: 0.2507 0.8046 0.6419  0.00
O: 0.0219 0.2893 0.3534  0.01
O: 0.5219 0.3534 0.2893  0.01
O: 0.6713 0.7645 0.9501  0.02
O: 0.8664 0.4554 0.8386  0.02
O: 0.1336 0.5446 0.1614  0.02
O: 0.8287 0.0499 0.2355  0.02
O: 0.6336 0.1614 0.5446  0.02
O: 0.9781 0.7107 0.6466  0.01
O: 0.3664 0.8386 0.4554  0.02
O: 0.3287 0.2355 0.0499  0.02
O: 0.4781 0.6466 0.7107  0.01
O: 0.1713 0.9501 0.7645  0.02
Pd: 0.2500 0.3026 0.6974  0.75
Pd: 0.7500 0.6974 0.3026  0.75
Ag: 0.2500 0.8742 0.1258  0.03
Ag: 0.7500 0.1258 0.8742  0.03

Magnetic moment: 1.0 μB/f.u.
Raw formation energy: -1.400 eV per atom
Symmetry: C2/c, No. 15

---

- Number 2 is which compound?
  Sr3Cd4Hg4

---

- Among the records above, which one has the lowest magnetic moment?
  Sr3Cd4Hg4